This record from OQMD via LeMat-Bulk describes an optimized crystal structure of Ni2AsPd. The functional is PBE. Values from VASP.

Results
- energy (eV for the cell shown) = -21.26
- total magnetization (μB/atom) = 0.00

Structure (Quantum ESPRESSO input):
```
&SYSTEM
  ibrav = 0, nat = 4, ntyp = 3
/
ATOMIC_SPECIES
Ni 58.69 Ni.upf
As 74.92 As.upf
Pd 106.42 Pd.upf
CELL_PARAMETERS angstrom
0.000 2.973 2.973
2.973 0.000 2.973
2.973 2.973 0.000
ATOMIC_POSITIONS crystal
Ni 0.000 0.000 0.000
Ni 0.250 0.250 0.250
As 0.500 0.500 0.500
Pd 0.750 0.750 0.750
```


This record from OQMD via LeMat-Bulk describes an optimized crystal structure of NiAsPd2. The functional is PBE. Values from VASP.

Results
- energy (eV for the cell shown) = -21.02
- total magnetization (μB/atom) = 0.01

Structure (Quantum ESPRESSO input):
```
&SYSTEM
  ibrav = 0, nat = 4, ntyp = 3
/
ATOMIC_SPECIES
Ni 58.69 Ni.upf
As 74.92 As.upf
Pd 106.42 Pd.upf
CELL_PARAMETERS angstrom
0.000 3.072 3.072
3.072 0.000 3.072
3.072 3.072 0.000
ATOMIC_POSITIONS crystal
Ni 0.000 0.000 0.000
As 0.750 0.750 0.750
Pd 0.250 0.250 0.250
Pd 0.500 0.500 0.500
```


This record from OQMD via LeMat-Bulk describes an optimized crystal structure of PrNiAs2Pd. The functional is PBE. Values from VASP.

Results
- energy (eV for the cell shown) = -57.87
- total magnetization (μB/atom) = 0.00

Structure (Quantum ESPRESSO input):
```
&SYSTEM
  ibrav = 0, nat = 10, ntyp = 4
/
ATOMIC_SPECIES
Pr 140.91 Pr.upf
Ni 58.69 Ni.upf
As 74.92 As.upf
Pd 106.42 Pd.upf
CELL_PARAMETERS angstrom
4.295 0.000 0.000
0.000 4.295 0.000
0.000 0.000 10.036
ATOMIC_POSITIONS crystal
Pr 0.250 0.250 0.237
Pr 0.750 0.750 0.763
Ni 0.250 0.750 0.000
Ni 0.750 0.250 0.000
As 0.250 0.250 0.885
As 0.250 0.750 0.500
As 0.750 0.250 0.500
As 0.750 0.750 0.115
Pd 0.250 0.250 0.636
Pd 0.750 0.750 0.364
```


This record from OQMD via LeMat-Bulk describes an optimized crystal structure of Pr2NiAs2Pd. The functional is PBE. Values from VASP.

Results
- energy (eV for the cell shown) = -36.12
- total magnetization (μB/atom) = 0.00

Structure (Quantum ESPRESSO input):
```
&SYSTEM
  ibrav = 0, nat = 6, ntyp = 4
/
ATOMIC_SPECIES
Pr 140.91 Pr.upf
Ni 58.69 Ni.upf
As 74.92 As.upf
Pd 106.42 Pd.upf
CELL_PARAMETERS angstrom
4.273 0.000 0.000
-2.137 3.701 0.000
0.000 0.000 8.058
ATOMIC_POSITIONS crystal
Pr 0.000 0.000 0.245
Pr 0.000 0.000 0.755
Ni 0.333 0.667 0.000
As 0.333 0.667 0.500
As 0.667 0.333 0.000
Pd 0.667 0.333 0.500
```


This record from OQMD via LeMat-Bulk describes an optimized crystal structure of ReNiAsPd. The functional is PBE. Values from VASP.

Results
- energy (eV for the cell shown) = -25.63
- total magnetization (μB/atom) = 0.53

Structure (Quantum ESPRESSO input):
```
&SYSTEM
  ibrav = 0, nat = 4, ntyp = 4
/
ATOMIC_SPECIES
Re 186.21 Re.upf
Ni 58.69 Ni.upf
As 74.92 As.upf
Pd 106.42 Pd.upf
CELL_PARAMETERS angstrom
0.000 3.090 3.090
3.090 0.000 3.090
3.090 3.090 0.000
ATOMIC_POSITIONS crystal
Re 0.000 0.000 0.000
Ni 0.750 0.750 0.750
As 0.500 0.500 0.500
Pd 0.250 0.250 0.250
```


This record from OQMD via LeMat-Bulk describes an optimized crystal structure of Sc2NiAs2Pd. The functional is PBE. Values from VASP.

Results
- energy (eV for the cell shown) = -154.96
- total magnetization (μB/atom) = 0.00

Structure (Quantum ESPRESSO input):
```
&SYSTEM
  ibrav = 0, nat = 24, ntyp = 4
/
ATOMIC_SPECIES
Sc 44.96 Sc.upf
Ni 58.69 Ni.upf
As 74.92 As.upf
Pd 106.42 Pd.upf
CELL_PARAMETERS angstrom
7.361 0.000 0.000
0.000 4.219 0.000
-2.324 0.000 13.850
ATOMIC_POSITIONS crystal
Sc 0.000 0.000 0.000
Sc 0.005 0.500 0.493
Sc 0.239 0.000 0.738
Sc 0.247 0.500 0.243
Sc 0.484 0.000 0.485
Sc 0.499 0.500 0.999
Sc 0.744 0.000 0.239
Sc 0.756 0.500 0.741
Ni 0.060 0.500 0.677
Ni 0.061 0.000 0.183
Ni 0.306 0.500 0.426
Ni 0.559 0.500 0.182
As 0.121 0.500 0.860
As 0.128 0.000 0.364
As 0.360 0.500 0.610
As 0.373 0.000 0.124
As 0.609 0.500 0.363
As 0.622 0.000 0.867
As 0.876 0.500 0.126
As 0.883 0.000 0.619
Pd 0.309 0.000 0.932
Pd 0.559 0.000 0.676
Pd 0.809 0.000 0.428
Pd 0.813 0.500 0.933
```


Number 4 is which compound? Pr2NiAs2Pd